[1]
A geometry-optimized La2Pt2Se structure. Source: the Alexandria database, functional PBE-GGA.

a b c (Å): 8.161 8.161 3.901
angles (deg): 90.00 90.00 90.00
Space group P4/mbm (No. 127)
Symmetry-distinct sites (fractional):
La 0.179 0.321 0.000 [4 per cell]
Pt 0.120 0.620 0.500 [4 per cell]
Se 0.000 0.000 0.000 [2 per cell]

Output
Offset from the most stable computed form ... 70 meV per atom
Density of states at the Fermi level ... 0.122 states/eV/atom
Total magnetization ... 0.00 μB/f.u.

=====

[2]
A geometry-optimized La2PtSe structure. Source: the Alexandria database, functional PBE-GGA.

a b c (Å): 3.681 3.681 7.462
angles (deg): 90.00 90.00 90.00
Space group P4/mmm (No. 123)
Symmetry-distinct sites (fractional):
La 0.000 0.000 0.241 [2 per cell]
Pt 0.500 0.500 0.000 [1 per cell]
Se 0.500 0.500 0.500 [1 per cell]

Output
Density of states at the Fermi level ... 1.188 states/eV/atom
Calculated total energy ... -24.81 eV for the cell shown
Total magnetization ... 0.00 μB/f.u.

=====

[3]
A geometry-optimized LaPt4Se8 structure. Source: the Alexandria database, functional PBE-GGA.

a b c (Å): 7.7451 7.7451 19.5664
angles (deg): 90.00 90.00 120.00
Space group R-3m (No. 166, hexagonal axes)
Symmetry-distinct sites (fractional):
La 0.0000 0.0000 0.0000 [3 per cell]
Pt 0.0000 0.0000 0.5000 [3 per cell]
Pt 0.0000 0.5000 0.5000 [9 per cell]
Se 0.0000 0.0000 0.2331 [6 per cell]
Se 0.0017 0.5008 0.7684 [18 per cell]

Output
Density of states at the Fermi level ... 0.976 states/eV/atom
Calculated total energy ... -190.76 eV for the cell shown
Total magnetization ... 0.00 μB/f.u.

=====

[4]
A geometry-optimized LaPt2Se structure. Source: the Alexandria database, functional PBE-GGA.

a b c (Å): 3.894 4.391 9.645
angles (deg): 90.00 90.00 90.00
Space group Immm (No. 71)
Symmetry-distinct sites (fractional):
La 0.000 0.000 0.000 [2 per cell]
Pt 0.000 0.500 0.240 [4 per cell]
Se 0.000 0.000 0.500 [2 per cell]

Output
Density of states at the Fermi level ... 0.312 states/eV/atom
Calculated total energy ... -47.50 eV for the cell shown
Total magnetization ... 0.00 μB/f.u.

=====

- Which of these has the highest density of states at the Fermi level?
  La2PtSe

=====

- What is the formula in the first record?
  La2Pt2Se

=====

What did the second record say?
A geometry-optimized La2PtSe structure. Source: the Alexandria database, functional PBE-GGA.

a b c (Å): 3.681 3.681 7.462
angles (deg): 90.00 90.00 90.00
Space group P4/mmm (No. 123)
Symmetry-distinct sites (fractional):
La 0.000 0.000 0.241 [2 per cell]
Pt 0.500 0.500 0.000 [1 per cell]
Se 0.500 0.500 0.500 [1 per cell]

Output
Density of states at the Fermi level ... 1.188 states/eV/atom
Calculated total energy ... -24.81 eV for the cell shown
Total magnetization ... 0.00 μB/f.u.